Material: Zn3AsI
Method: DFT, PBE
State: optimized geometry

It has space group Pm-3m (No. 221), with a = 5.2857 Å, b = 5.2857 Å, c = 5.2857 Å, α = 90.00°, β = 90.00° and γ = 90.00°. Symmetry generates all atoms from Zn at (0.0000, 0.0000, 0.5000), As at (0.5000, 0.5000, 0.5000) and I at (0.0000, 0.0000, 0.0000).

The calculation puts the final energy at -5.18 eV per cell. The value obtained for the energy above the most stable polymorph in this dataset is 4.55 eV per formula unit. The formation energy without anion corrections is 0.969 eV per atom. The density of states at the Fermi level is 0.3808 states/eV/atom.